SrZrBe after structural relaxation, computed with PBE-GGA.

**Size of the total moment**: 0.17 μB/f.u.
**Relative energy among the computed polymorphs**: 0.405 eV per atom
**ΔH_f (0 K)**: 0.634 eV per atom

Geometry as POSCAR:
```
SrZrBe
1.0
-0.789 -2.485 -3.450
-1.275 -1.285 3.928
-4.369 2.308 -0.663
Be Zr Sr
1 1 1
Direct
0.000 0.000 0.832 Be
0.333 0.667 0.834 Zr
0.667 0.333 0.334 Sr
```

=====

PuGaCl after structural relaxation, computed with PBE-GGA.

**Size of the total moment**: 0.00 μB/f.u.
**Energy**: -7.045 eV per atom

Geometry as POSCAR:
```
PuGaCl
1.0
5.307 0.000 0.000
0.000 3.312 0.000
-2.654 0.000 8.398
Cl Pu Ga
2 2 2
Direct
0.174 0.250 0.349 Cl
0.826 0.750 0.651 Cl
0.951 0.250 0.902 Pu
0.049 0.750 0.098 Pu
0.560 0.250 0.120 Ga
0.440 0.750 0.880 Ga
```

=====

La4HoTm3S8 after structural relaxation, computed with PBE-GGA.

**Size of the total moment**: 0.00 μB/f.u.
**Energy**: -6.484 eV per atom

Geometry as POSCAR:
```
La4HoTm3S8
1.0
7.901 0.000 0.000
0.000 8.118 0.148
-3.950 -3.946 5.590
Tm La S Ho
3 4 8 1
Direct
0.500 0.500 0.000 Tm
0.500 0.500 0.500 Tm
0.000 0.500 0.500 Tm
0.500 0.000 0.000 La
0.000 0.000 0.000 La
0.500 0.000 0.500 La
0.000 0.000 0.500 La
0.739 0.724 0.982 S
0.741 0.723 0.482 S
0.758 0.276 0.018 S
0.261 0.276 0.018 S
0.242 0.724 0.485 S
0.758 0.276 0.515 S
0.242 0.724 0.982 S
0.259 0.277 0.518 S
0.000 0.500 0.000 Ho
```

=====

Pr5SmS6 after structural relaxation, computed with PBE-GGA.

**Size of the total moment**: 0.00 μB/f.u.
**Energy**: -6.472 eV per atom

Geometry as POSCAR:
```
Pr5SmS6
1.0
6.994 0.182 1.069
1.731 5.931 3.459
0.121 0.053 7.095
S Pr Sm
6 5 1
Direct
0.752 0.754 0.000 S
0.754 0.410 0.672 S
0.246 0.590 0.328 S
0.248 0.246 0.000 S
0.754 0.082 0.328 S
0.246 0.918 0.672 S
0.000 0.333 0.334 Pr
0.000 0.667 0.666 Pr
0.500 0.500 0.000 Pr
0.500 0.831 0.338 Pr
0.500 0.169 0.662 Pr
0.000 0.000 0.000 Sm
```

=====

Results for density of states at the Fermi level: 3.32; 2.62; 7.81; 4.69 (in states/eV/f.u., following the order of the records).